1.
Computed, not measured: a relaxed LiSeBr2 crystal at the PBE level of DFT.

Summary:
Spin magnetization in μB per atom: 0.00
DOS(E_F) in states/eV/f.u.: 1.63
Formation energy (no corrections) in meV per atom: -292
Calculated density in g cm⁻³: 3.25
Energy in eV/atom: -2.478

abc: 4.258 8.386 7.039
angles: 90.00 90.00 90.00
Sites, in units of the cell vectors:
Li 0.000 0.000 0.000
Li 0.500 0.500 0.000
Se 0.000 0.000 0.500
Se 0.500 0.500 0.500
Br 0.000 0.500 0.247
Br 0.000 0.500 0.753
Br 0.500 0.000 0.247
Br 0.500 0.000 0.753

2.
Computed, not measured: a relaxed Li2SeBr crystal at the PBE level of DFT.

Summary:
Spin magnetization in μB per atom: 0.00
DOS(E_F) in states/eV/f.u.: 4.25
Formation energy (no corrections) in meV per atom: -367
Calculated density in g cm⁻³: 3.22
Energy in eV/atom: -2.613

abc: 7.090 7.090 7.090
angles: 90.00 90.00 90.00
Sites, in units of the cell vectors:
Li 0.000 0.000 0.000
Li 0.000 0.500 0.500
Li 0.250 0.250 0.250
Li 0.250 0.750 0.750
Li 0.500 0.000 0.500
Li 0.500 0.500 0.000
Li 0.750 0.250 0.750
Li 0.750 0.750 0.250
Se 0.000 0.000 0.500
Se 0.000 0.500 0.000
Se 0.500 0.000 0.000
Se 0.500 0.500 0.500
Br 0.250 0.250 0.750
Br 0.250 0.750 0.250
Br 0.750 0.250 0.250
Br 0.750 0.750 0.750

3.
Computed, not measured: a relaxed LiSiSeBr2 crystal at the PBE level of DFT.

Summary:
Spin magnetization in μB per atom: 0.00
DOS(E_F) in states/eV/f.u.: 3.57
Formation energy (no corrections) in meV per atom: 111
Calculated density in g cm⁻³: 3.90
Energy in eV/atom: -2.723

abc: 4.847 4.847 4.958
angles: 90.00 90.00 90.00
Sites, in units of the cell vectors:
Li 0.000 0.000 0.000
Si 0.500 0.500 0.500
Se 0.000 0.000 0.500
Br 0.000 0.500 0.000
Br 0.500 0.000 0.000

4.
Computed, not measured: a relaxed LiSiSeBr2 crystal at the PBE level of DFT.

Summary:
Spin magnetization in μB per atom: 0.00
DOS(E_F) in states/eV/f.u.: 2.64
Formation energy (no corrections) in meV per atom: -360
Calculated density in g cm⁻³: 3.38
Energy in eV/atom: -3.193

abc: 5.271 5.271 4.846
angles: 90.00 90.00 90.00
Sites, in units of the cell vectors:
Li 0.000 0.000 0.000
Si 0.500 0.500 0.500
Se 0.500 0.500 0.000
Br 0.000 0.500 0.500
Br 0.500 0.000 0.500

5.
Computed, not measured: a relaxed LiSnSeBr crystal at the PBE level of DFT.

Summary:
Spin magnetization in μB per atom: 0.00
Formation energy (no corrections) in meV per atom: -908
Calculated density in g cm⁻³: 4.38
Energy in eV/atom: -3.676

abc: 4.078 4.078 22.484
angles: 90.00 90.00 120.00
Sites, in units of the cell vectors:
Li 0.000 0.000 0.000
Li 0.333 0.667 0.667
Li 0.667 0.333 0.333
Sn 0.000 0.000 0.501
Sn 0.333 0.667 0.168
Sn 0.667 0.333 0.835
Se 0.000 0.000 0.237
Se 0.333 0.667 0.904
Se 0.667 0.333 0.571
Br 0.000 0.000 0.714
Br 0.333 0.667 0.381
Br 0.667 0.333 0.047

6.
Computed, not measured: a relaxed LiSn2SeBr crystal at the PBE level of DFT.

Summary:
Spin magnetization in μB per atom: 0.00
DOS(E_F) in states/eV/f.u.: 3.61
Formation energy (no corrections) in meV per atom: -82
Calculated density in g cm⁻³: 5.18
Energy in eV/atom: -3.097

abc: 5.369 5.369 4.485
angles: 90.00 90.00 90.00
Sites, in units of the cell vectors:
Li 0.000 0.000 0.000
Sn 0.000 0.500 0.000
Sn 0.500 0.000 0.000
Se 0.000 0.000 0.500
Br 0.500 0.500 0.500

> Which of these has the highest calculated density?

LiSn2SeBr